(1)
Density functional theory data (PBE) for an optimized crystal structure of Er6Te3As2Pb.

Lattice parameters (Å, degrees): 9.563 9.563 8.604 103.58 103.58 25.60
Atoms (fractional coordinates):
Er 0.010 0.010 0.250
Er 0.325 0.325 0.432
Er 0.333 0.333 0.890
Er 0.667 0.667 0.110
Er 0.675 0.675 0.568
Er 0.990 0.990 0.750
Te 0.165 0.165 0.833
Te 0.500 0.500 0.500
Te 0.835 0.835 0.167
As 0.168 0.168 0.338
As 0.832 0.832 0.662
Pb 0.500 0.500 0.000

## Properties
Raw formation energy: -1.25 eV/atom
Raw total energy: -5.4029 eV/atom
Total magnetic moment: 0.00 Bohr magnetons per cell

---

(2)
Density functional theory data (PBE) for an optimized crystal structure of HfScFeCu.

Lattice parameters (Å, degrees): 6.362 6.362 6.362 90.00 90.00 90.00
Atoms (fractional coordinates):
Hf 0.000 0.000 0.000
Hf 0.000 0.500 0.500
Hf 0.500 0.000 0.500
Hf 0.500 0.500 0.000
Sc 0.000 0.000 0.500
Sc 0.000 0.500 0.000
Sc 0.500 0.000 0.000
Sc 0.500 0.500 0.500
Fe 0.250 0.250 0.250
Fe 0.250 0.750 0.750
Fe 0.750 0.250 0.750
Fe 0.750 0.750 0.250
Cu 0.250 0.250 0.750
Cu 0.250 0.750 0.250
Cu 0.750 0.250 0.250
Cu 0.750 0.750 0.750

## Properties
Raw total energy: -7.4010 eV/atom
ΔH_f (0 K): -0.8 eV/f.u.
Total magnetic moment: 0.00 Bohr magnetons per cell
Distance to the lowest polymorph of the same formula: 0.0363 eV/atom

---

(3)
Density functional theory data (PBE) for an optimized crystal structure of AlCS2.

Lattice parameters (Å, degrees): 2.981 2.981 22.565 90.00 90.00 120.00
Atoms (fractional coordinates):
Al 0.000 0.000 0.000
Al 0.333 0.667 0.667
Al 0.667 0.333 0.333
C 0.000 0.000 0.500
C 0.333 0.667 0.167
C 0.667 0.333 0.833
S 0.000 0.000 0.111
S 0.000 0.000 0.889
S 0.333 0.667 0.556
S 0.333 0.667 0.778
S 0.667 0.333 0.222
S 0.667 0.333 0.444

## Properties
Raw formation energy: 1.08 eV/atom
Raw total energy: -4.2260 eV/atom
Total magnetic moment: 0.00 Bohr magnetons per cell
Distance to the lowest polymorph of the same formula: 0.5646 eV/atom

---

Number 1: ρ 8.77 Mg/m³. Number 2: ρ 8.84 Mg/m³. Number 3: ρ 2.96 Mg/m³.